VASP calculation (GGA-PBE) on a geometry-optimized Ca2HfZr structure.

It has space group I-42d (No. 122), with a = 8.757 Å, b = 8.757 Å, c = 6.077 Å, α = 90.00°, β = 90.00° and γ = 90.00°. The distinct sites, in fractional coordinates, are Ca at (0.249, 0.750, 0.125), Hf at (0.000, 0.000, 0.500) and Zr at (0.000, 0.000, 0.000).

For the calculated density, the calculation gives 4.99 g/cm³. The value obtained for the energy above the most stable polymorph in this dataset is 238 meV per atom.